Record 1
## CaGa2SCl (PBE)

Data for a relaxed structure of CaGa2SCl.

Cell and atoms, written as CIF:
```
data_CaGa2SCl
_cell_length_a 6.151
_cell_length_b 4.947
_cell_length_c 6.151
_cell_angle_alpha 90.00
_cell_angle_beta 90.00
_cell_angle_gamma 90.00
_symmetry_space_group_name_H-M 'P 1'
_symmetry_Int_Tables_number 1
loop_
_symmetry_equiv_pos_as_xyz
'x,y,z'
loop_
_atom_site_label
_atom_site_type_symbol
_atom_site_fract_x
_atom_site_fract_y
_atom_site_fract_z
Ga1 Ga 0.500 0.000 0.000
Cl1 Cl 0.500 0.500 0.500
Ga2 Ga 0.000 0.000 0.500
S1 S 0.000 0.500 0.000
Ca1 Ca 0.000 0.000 0.000
```

Summary:
D(E_F): 3.32 states/eV/f.u.
Raw total energy: -2.85 eV per atom
Uncorrected formation energy: -43 meV per atom
Offset from the most stable computed form: 404 meV per atom
Space group: P4/mmm, No. 123



Record 2
## NbGe2C (PBE)

Data for a relaxed structure of NbGe2C.

Cell and atoms, written as CIF:
```
data_NbGe2C
_cell_length_a 6.332
_cell_length_b 6.332
_cell_length_c 5.354
_cell_angle_alpha 53.75
_cell_angle_beta 53.75
_cell_angle_gamma 90.00
_symmetry_space_group_name_H-M 'P 1'
_symmetry_Int_Tables_number 1
loop_
_symmetry_equiv_pos_as_xyz
'x,y,z'
loop_
_atom_site_label
_atom_site_type_symbol
_atom_site_fract_x
_atom_site_fract_y
_atom_site_fract_z
Nb1 Nb 0.000 0.000 0.000
C1 C 0.500 0.500 0.000
Ge1 Ge 0.375 0.458 0.750
Ge2 Ge 0.208 0.625 0.250
Nb2 Nb 0.750 0.250 0.500
C2 C 0.250 0.750 0.500
Ge3 Ge 0.875 0.792 0.750
Ge4 Ge 0.542 0.125 0.250
```

Summary:
D(E_F): 2.78 states/eV/f.u.
Raw total energy: -6.47 eV per atom
Energy of formation: 0.6668 eV per atom
Offset from the most stable computed form: 0 meV per atom
Space group: I-42d, No. 122



Record 3
## PmNdErPu (PBE)

Data for a relaxed structure of PmNdErPu.

Cell and atoms, written as CIF:
```
data_PmNdErPu
_cell_length_a 5.666
_cell_length_b 5.666
_cell_length_c 5.666
_cell_angle_alpha 60.00
_cell_angle_beta 60.00
_cell_angle_gamma 60.00
_symmetry_space_group_name_H-M 'P 1'
_symmetry_Int_Tables_number 1
loop_
_symmetry_equiv_pos_as_xyz
'x,y,z'
loop_
_atom_site_label
_atom_site_type_symbol
_atom_site_fract_x
_atom_site_fract_y
_atom_site_fract_z
Nd1 Nd 0.500 0.500 0.500
Pm1 Pm 0.000 0.000 0.000
Er1 Er 0.250 0.250 0.250
Pu1 Pu 0.750 0.750 0.750
```

Summary:
D(E_F): 12.98 states/eV/f.u.
Raw total energy: -6.89 eV per atom
Energy of formation: 0.2121 eV per atom
Space group: F-43m, No. 216



Which of these has the lowest raw total energy? PmNdErPu



Repeat the second record exactly.
## NbGe2C (PBE)

Data for a relaxed structure of NbGe2C.

Cell and atoms, written as CIF:
```
data_NbGe2C
_cell_length_a 6.332
_cell_length_b 6.332
_cell_length_c 5.354
_cell_angle_alpha 53.75
_cell_angle_beta 53.75
_cell_angle_gamma 90.00
_symmetry_space_group_name_H-M 'P 1'
_symmetry_Int_Tables_number 1
loop_
_symmetry_equiv_pos_as_xyz
'x,y,z'
loop_
_atom_site_label
_atom_site_type_symbol
_atom_site_fract_x
_atom_site_fract_y
_atom_site_fract_z
Nb1 Nb 0.000 0.000 0.000
C1 C 0.500 0.500 0.000
Ge1 Ge 0.375 0.458 0.750
Ge2 Ge 0.208 0.625 0.250
Nb2 Nb 0.750 0.250 0.500
C2 C 0.250 0.750 0.500
Ge3 Ge 0.875 0.792 0.750
Ge4 Ge 0.542 0.125 0.250
```

Summary:
D(E_F): 2.78 states/eV/f.u.
Raw total energy: -6.47 eV per atom
Energy of formation: 0.6668 eV per atom
Offset from the most stable computed form: 0 meV per atom
Space group: I-42d, No. 122